! K2ScSnSe5, relaxed, DFT PBE; values from VASP
&SYSTEM
  ibrav = 0, nat = 18, ntyp = 4
/
ATOMIC_SPECIES
Sn 118.71 Sn.upf
Sc 44.96 Sc.upf
K 39.10 K.upf
Se 78.96 Se.upf
CELL_PARAMETERS angstrom
3.920 0.000 0.000
-1.960 9.899 0.000
0.000 0.000 14.496
ATOMIC_POSITIONS angstrom
Sn 0.000 8.697 6.129
Sn 1.960 1.202 13.377
Sc 0.000 4.072 0.440
Sc 1.960 5.827 7.688
K 0.000 2.603 9.983
K 1.960 7.296 2.735
K 0.000 2.770 4.622
K 1.960 7.129 11.870
Se 1.960 0.052 3.977
Se 0.000 9.847 11.224
Se 1.960 3.721 12.895
Se 0.000 6.178 5.647
Se 0.000 1.000 0.598
Se 0.000 6.654 0.112
Se 1.960 3.926 2.182
Se 1.960 3.245 7.360
Se 0.000 5.973 9.430
Se 1.960 8.899 7.846
! raw total energy	-4.30	eV per atom
! magnetization	0.0	μB per formula unit
! theoretical density	3.76	Mg/m³
! raw formation energy	-0.97	eV/atom
! space-group type	Cmc2_1 (36)